# 1
Density functional theory data (GGA-PBE) for Ti6Co5W after structural relaxation.

Geometry as extended XYZ:
```
12
Lattice="-2.130 3.016 6.379 2.130 -3.016 6.379 2.130 3.016 -6.379" Properties=species:S:1:pos:R:3 pbc="T T T"
Ti 2.130 1.490 -2.152
Ti 0.000 1.474 0.000
Ti 2.130 1.490 2.152
Ti 0.000 1.525 4.226
Ti 0.000 4.558 0.000
Ti 0.000 1.525 8.531
Co 2.130 0.000 0.000
Co 0.000 0.000 2.165
Co 2.130 0.000 4.231
Co 0.000 3.016 2.147
Co 0.000 0.000 10.592
W 0.000 0.000 6.379
```

* theoretical density: 7.759 g/cm3
* total moment: 2.12 μB per cell
* energy of formation: -325.8 meV/atom
* energy: -99.76 eV per formula unit


# 2
Density functional theory data (GGA-PBE) for Ti2Co2W after structural relaxation.

Geometry as extended XYZ:
```
10
Lattice="7.087 0.000 0.000 0.000 7.087 0.000 0.000 0.000 2.741" Properties=species:S:1:pos:R:3 pbc="T T T"
Ti 1.078 2.466 0.000
Ti 2.466 6.009 0.000
Ti 4.621 1.078 0.000
Ti 6.009 4.621 0.000
Co 1.049 4.592 1.371
Co 2.495 1.049 1.371
Co 4.592 6.038 1.371
Co 6.038 2.495 1.371
W 0.000 0.000 0.000
W 3.543 3.543 0.000
```

* theoretical density: 9.588 g/cm3
* total moment: 0.00 μB per cell
* energy of formation: -40.7 meV/atom
* energy: -43.16 eV per formula unit
* offset from the most stable computed form: 76 meV/atom


# 3
Density functional theory data (GGA-PBE) for TiCo5W after structural relaxation.

Geometry as extended XYZ:
```
7
Lattice="3.576 0.000 0.000 0.000 3.576 0.000 0.000 0.000 7.074" Properties=species:S:1:pos:R:3 pbc="T T T"
Ti 0.000 0.000 0.000
Co 0.000 0.000 3.537
Co 0.000 1.788 1.749
Co 0.000 1.788 5.325
Co 1.788 0.000 1.749
Co 1.788 0.000 5.325
W 1.788 1.788 3.537
```

* theoretical density: 9.660 g/cm3
* total moment: 3.02 μB per cell
* energy of formation: 135.4 meV/atom
* energy: -55.43 eV per formula unit


# 4
Density functional theory data (GGA-PBE) for TiCo2W after structural relaxation.

Geometry as extended XYZ:
```
4
Lattice="2.825 0.000 0.000 0.000 2.825 0.000 0.000 0.000 6.531" Properties=species:S:1:pos:R:3 pbc="T T T"
Ti 0.000 0.000 0.000
Co 1.413 1.413 1.489
Co 1.413 1.413 5.042
W 0.000 0.000 3.266
```

* theoretical density: 11.135 g/cm3
* total moment: 0.55 μB per cell
* energy of formation: -112.8 meV/atom
* energy: -35.51 eV per formula unit


# 5
Density functional theory data (GGA-PBE) for TiCo2W after structural relaxation.

Geometry as extended XYZ:
```
4
Lattice="1.379 0.796 8.211 -1.379 0.796 8.211 0.000 -1.592 8.211" Properties=species:S:1:pos:R:3 pbc="T T T"
Ti 0.000 0.000 0.000
Co 0.000 0.000 6.235
Co 0.000 0.000 18.397
W 0.000 0.000 12.316
```

* theoretical density: 10.733 g/cm3
* total moment: 0.92 μB per cell
* energy of formation: 147.9 meV/atom
* energy: -34.47 eV per formula unit


# 6
Density functional theory data (GGA-PBE) for Ti3CoW after structural relaxation.

Geometry as extended XYZ:
```
5
Lattice="4.729 0.000 0.000 0.000 4.729 0.000 0.000 0.000 4.729" Properties=species:S:1:pos:R:3 pbc="T T T"
Ti 0.000 0.000 2.364
Ti 0.000 2.364 0.000
Ti 2.364 0.000 0.000
Co 2.364 2.364 2.364
W 0.000 0.000 0.000
```

* theoretical density: 6.067 g/cm3
* total moment: 1.34 μB per cell
* energy of formation: 1263.4 meV/atom
* energy: -37.43 eV per formula unit
* offset from the most stable computed form: 682 meV/atom


# 7
Density functional theory data (GGA-PBE) for Y2Ti2Co after structural relaxation.

Geometry as extended XYZ:
```
10
Lattice="6.397 0.000 0.000 0.000 6.397 0.000 0.000 0.000 5.113" Properties=species:S:1:pos:R:3 pbc="T T T"
Y 1.094 2.104 0.000
Y 2.104 5.303 0.000
Y 4.293 1.094 0.000
Y 5.303 4.293 0.000
Ti 0.979 4.178 2.556
Ti 2.219 0.979 2.556
Ti 4.178 5.418 2.556
Ti 5.418 2.219 2.556
Co 0.000 0.000 2.556
Co 3.199 3.199 2.556
```

* theoretical density: 5.277 g/cm3
* total moment: 0.00 μB per cell
* energy of formation: 72.0 meV/atom
* energy: -35.46 eV per formula unit


# 8
Density functional theory data (GGA-PBE) for YTiCo after structural relaxation.

Geometry as extended XYZ:
```
3
Lattice="-1.597 1.597 5.561 1.597 -1.597 5.561 1.597 1.597 -5.561" Properties=species:S:1:pos:R:3 pbc="T T T"
Y 0.000 0.000 0.000
Ti 0.000 0.000 3.071
Co 0.000 0.000 7.709
```

* theoretical density: 5.726 g/cm3
* total moment: 0.00 μB per cell
* energy of formation: -69.3 meV/atom
* energy: -21.67 eV per formula unit
* offset from the most stable computed form: 175 meV/atom


# 9
Density functional theory data (GGA-PBE) for YTi2Co after structural relaxation.

Geometry as extended XYZ:
```
4
Lattice="0.000 3.243 3.243 3.243 0.000 3.243 3.243 3.243 0.000" Properties=species:S:1:pos:R:3 pbc="T T T"
Y 0.000 0.000 0.000
Ti 1.621 1.621 1.621
Ti 4.864 4.864 4.864
Co 3.243 3.243 3.243
```

* theoretical density: 5.931 g/cm3
* total moment: 0.00 μB per cell
* energy of formation: 296.5 meV/atom
* energy: -28.17 eV per formula unit
* offset from the most stable computed form: 0 meV/atom


# 10
Density functional theory data (GGA-PBE) for YTiCo after structural relaxation.

Geometry as extended XYZ:
```
6
Lattice="4.264 0.000 0.000 0.000 4.264 0.000 0.000 0.000 6.318" Properties=species:S:1:pos:R:3 pbc="T T T"
Y 1.066 1.066 0.859
Y 3.198 3.198 5.459
Ti 1.066 3.198 3.159
Ti 3.198 1.066 3.159
Co 1.066 1.066 4.364
Co 3.198 3.198 1.954
```

* theoretical density: 5.657 g/cm3
* total moment: 0.00 μB per cell
* energy of formation: -244.6 meV/atom
* energy: -22.20 eV per formula unit
* offset from the most stable computed form: 0 meV/atom


# 11
Density functional theory data (GGA-PBE) for YTi2Co after structural relaxation.

Geometry as extended XYZ:
```
8
Lattice="-2.279 2.279 8.536 2.279 -2.279 8.536 2.279 2.279 -8.536" Properties=species:S:1:pos:R:3 pbc="T T T"
Y 2.279 1.140 2.134
Y 0.000 1.140 6.402
Ti 0.000 0.000 0.000
Ti 1.140 1.140 -4.268
Ti 1.140 -1.140 4.268
Ti 0.000 2.279 0.000
Co 2.279 -1.140 6.402
Co 0.000 3.419 2.134
```

* theoretical density: 4.561 g/cm3
* total moment: 0.00 μB per cell
* energy of formation: 634.5 meV/atom
* energy: -26.82 eV per formula unit
* offset from the most stable computed form: 338 meV/atom


# 12
Density functional theory data (GGA-PBE) for YTiCo4 after structural relaxation.

Geometry as extended XYZ:
```
6
Lattice="0.000 3.470 3.470 3.470 0.000 3.470 3.470 3.470 0.000" Properties=species:S:1:pos:R:3 pbc="T T T"
Y 0.000 0.000 0.000
Ti 5.205 5.205 5.205
Co 2.607 2.607 2.607
Co 4.333 4.333 2.607
Co 4.333 2.607 4.333
Co 2.607 4.333 4.333
```

* theoretical density: 7.404 g/cm3
* total moment: 2.93 μB per cell
* energy of formation: -176.2 meV/atom
* energy: -43.84 eV per formula unit


# 13
Density functional theory data (GGA-PBE) for YTi2Co2 after structural relaxation.

Geometry as extended XYZ:
```
5
Lattice="-2.154 2.154 4.790 2.154 -2.154 4.790 2.154 2.154 -4.790" Properties=species:S:1:pos:R:3 pbc="T T T"
Y 0.000 0.000 0.000
Ti 0.000 0.000 3.368
Ti 0.000 0.000 6.212
Co 2.154 0.000 2.395
Co 0.000 2.154 2.395
```

* theoretical density: 5.653 g/cm3
* total moment: 1.38 μB per cell
* energy of formation: -28.6 meV/atom
* energy: -36.61 eV per formula unit
* offset from the most stable computed form: 277 meV/atom


# 14
Density functional theory data (GGA-PBE) for YTi2Co3 after structural relaxation.

Geometry as extended XYZ:
```
6
Lattice="3.027 0.000 0.000 0.000 3.027 0.000 0.000 0.000 9.736" Properties=species:S:1:pos:R:3 pbc="T T T"
Y 0.000 0.000 0.000
Ti 0.000 0.000 3.353
Ti 0.000 0.000 6.383
Co 1.513 1.513 2.087
Co 1.513 1.513 4.868
Co 1.513 1.513 7.649
```

* theoretical density: 6.729 g/cm3
* total moment: 0.45 μB per cell
* energy of formation: -297.0 meV/atom
* energy: -45.35 eV per formula unit


# 15
Density functional theory data (GGA-PBE) for YTi2Co9 after structural relaxation.

Geometry as extended XYZ:
```
12
Lattice="2.405 1.389 7.786 -2.405 1.389 7.786 0.000 -2.778 7.786" Properties=species:S:1:pos:R:3 pbc="T T T"
Y 0.000 0.000 0.000
Ti 0.000 0.000 3.310
Ti 0.000 0.000 20.047
Co -1.232 -0.712 9.806
Co 0.000 0.000 7.850
Co 0.000 -1.423 13.551
Co -1.232 0.712 13.551
Co 0.000 0.000 11.679
Co 1.232 -0.712 9.807
Co 0.000 1.423 9.807
Co 0.000 0.000 15.507
Co 1.232 0.712 13.551
```

* theoretical density: 7.608 g/cm3
* total moment: 9.43 μB per cell
* energy of formation: -208.3 meV/atom
* energy: -88.71 eV per formula unit


# 16
Density functional theory data (GGA-PBE) for YTi2Co2 after structural relaxation.

Geometry as extended XYZ:
```
10
Lattice="7.494 0.000 0.000 0.000 7.494 0.000 0.000 0.000 2.811" Properties=species:S:1:pos:R:3 pbc="T T T"
Y 0.000 0.000 0.000
Y 3.747 3.747 0.000
Ti 1.055 2.692 0.000
Ti 2.692 6.439 0.000
Ti 4.802 1.055 0.000
Ti 6.439 4.802 0.000
Co 1.090 4.837 1.405
Co 2.657 1.090 1.405
Co 4.837 6.404 1.405
Co 6.404 2.657 1.405
```

* theoretical density: 6.365 g/cm3
* total moment: 0.00 μB per cell
* energy of formation: -91.4 meV/atom
* energy: -36.92 eV per formula unit
* offset from the most stable computed form: 214 meV/atom


# 17
Density functional theory data (GGA-PBE) for YTi2Co2 after structural relaxation.

Geometry as extended XYZ:
```
5
Lattice="-2.069 2.069 4.959 2.069 -2.069 4.959 2.069 2.069 -4.959" Properties=species:S:1:pos:R:3 pbc="T T T"
Y 0.000 0.000 0.000
Ti 2.069 0.000 2.479
Ti 0.000 2.069 2.479
Co 0.000 0.000 3.812
Co 0.000 0.000 6.106
```

* theoretical density: 5.914 g/cm3
* total moment: 0.00 μB per cell
* energy of formation: -305.8 meV/atom
* energy: -37.99 eV per formula unit
* offset from the most stable computed form: 0 meV/atom


# 18
Density functional theory data (GGA-PBE) for YTi3Co after structural relaxation.

Geometry as extended XYZ:
```
5
Lattice="4.626 0.000 0.000 0.000 4.626 0.000 0.000 0.000 4.626" Properties=species:S:1:pos:R:3 pbc="T T T"
Y 0.000 0.000 0.000
Ti 0.000 2.313 2.313
Ti 2.313 0.000 2.313
Ti 2.313 2.313 0.000
Co 2.313 2.313 2.313
```

* theoretical density: 4.887 g/cm3
* total moment: 0.79 μB per cell
* energy of formation: 122.5 meV/atom
* energy: -36.64 eV per formula unit
* offset from the most stable computed form: 0 meV/atom


# 19
Density functional theory data (GGA-PBE) for YTi3Co after structural relaxation.

Geometry as extended XYZ:
```
5
Lattice="4.697 0.000 0.000 0.000 4.697 0.000 0.000 0.000 4.697" Properties=species:S:1:pos:R:3 pbc="T T T"
Y 0.000 0.000 0.000
Ti 0.000 0.000 2.348
Ti 0.000 2.348 0.000
Ti 2.348 0.000 0.000
Co 2.348 2.348 2.348
```

* theoretical density: 4.671 g/cm3
* total moment: 0.00 μB per cell
* energy of formation: 1872.7 meV/atom
* energy: -27.89 eV per formula unit
* offset from the most stable computed form: 1750 meV/atom


# 20
Density functional theory data (GGA-PBE) for YTi2Co2 after structural relaxation.

Geometry as extended XYZ:
```
10
Lattice="7.361 0.000 0.000 0.000 7.361 0.000 0.000 0.000 3.019" Properties=species:S:1:pos:R:3 pbc="T T T"
Y 0.000 0.000 0.000
Y 3.681 3.681 0.000
Ti 1.075 2.605 1.509
Ti 2.605 6.286 1.509
Ti 4.756 1.075 1.509
Ti 6.286 4.756 1.509
Co 0.947 4.627 0.000
Co 2.734 0.947 0.000
Co 4.627 6.415 0.000
Co 6.415 2.734 0.000
```

* theoretical density: 6.141 g/cm3
* total moment: 0.00 μB per cell
* energy of formation: -109.1 meV/atom
* energy: -37.01 eV per formula unit
* offset from the most stable computed form: 197 meV/atom


# 21
Density functional theory data (GGA-PBE) for Y2Ti2Co15 after structural relaxation.

Geometry as extended XYZ:
```
19
Lattice="4.180 2.413 4.102 -4.180 2.413 4.102 0.000 -4.827 4.102" Properties=species:S:1:pos:R:3 pbc="T T T"
Y 0.000 0.000 1.801
Y 0.000 0.000 10.504
Ti 0.000 0.000 4.847
Ti 0.000 0.000 7.459
Co -2.090 -1.207 4.102
Co 0.000 -2.407 3.924
Co -2.085 1.204 3.924
Co -1.219 -2.112 6.153
Co -2.438 0.000 6.153
Co -2.085 -1.204 8.381
Co -2.090 1.207 8.203
Co 1.219 -2.112 6.153
Co 0.000 2.413 4.102
Co -1.219 2.112 6.153
Co 2.085 1.204 3.924
Co 2.438 0.000 6.153
Co 1.219 2.112 6.153
Co 2.085 -1.204 8.381
Co 0.000 2.407 8.381
```

* theoretical density: 7.743 g/cm3
* total moment: 17.99 μB per cell
* energy of formation: -169.2 meV/atom
* energy: -138.52 eV per formula unit


# 22
Density functional theory data (GGA-PBE) for Y3TiCo8 after structural relaxation.

Geometry as extended XYZ:
```
12
Lattice="2.497 1.442 8.159 -2.497 1.442 8.159 0.000 -2.884 8.159" Properties=species:S:1:pos:R:3 pbc="T T T"
Y 0.000 0.000 0.000
Y 0.000 0.000 3.100
Y 0.000 0.000 15.221
Ti 0.000 0.000 12.205
Co 0.000 -1.426 5.536
Co -1.235 0.713 5.536
Co -1.229 -0.710 9.761
Co 0.000 0.000 7.652
Co 1.235 0.713 5.536
Co 1.229 -0.710 9.761
Co 0.000 1.420 9.761
Co 0.000 0.000 19.903
```

* theoretical density: 7.404 g/cm3
* total moment: 6.68 μB per cell
* energy of formation: -173.8 meV/atom
* energy: -86.22 eV per formula unit


# 23
Density functional theory data (GGA-PBE) for YZr2TiCo after structural relaxation.

Geometry as extended XYZ:
```
5
Lattice="5.108 0.000 0.000 0.000 5.108 0.000 0.000 0.000 4.637" Properties=species:S:1:pos:R:3 pbc="T T T"
Y 0.000 0.000 0.000
Zr 0.000 2.554 0.000
Zr 2.554 0.000 0.000
Ti 0.000 0.000 2.319
Co 2.554 2.554 2.319
```

* theoretical density: 5.190 g/cm3
* total moment: 0.00 μB per cell
* energy of formation: 1860.3 meV/atom
* energy: -29.26 eV per formula unit


# 24
Density functional theory data (GGA-PBE) for Ti5ZnCo2 after structural relaxation.

Geometry as extended XYZ:
```
8
Lattice="-1.492 3.083 6.754 1.492 -3.083 6.754 1.492 3.083 -6.754" Properties=species:S:1:pos:R:3 pbc="T T T"
Ti 0.000 0.000 0.000
Ti 1.492 1.537 -1.892
Ti 1.492 1.537 1.892
Ti 0.000 1.546 4.862
Ti 0.000 1.546 8.646
Zn 0.000 3.083 0.000
Co 0.000 0.000 2.943
Co 0.000 0.000 10.565
```

* theoretical density: 5.650 g/cm3
* total moment: 0.00 μB per cell
* energy of formation: -118.3 meV/atom
* energy: -55.91 eV per formula unit


# 25
Density functional theory data (GGA-PBE) for TiZnCo2 after structural relaxation.

Geometry as extended XYZ:
```
8
Lattice="-3.189 3.189 2.648 3.189 -3.189 2.648 3.189 3.189 -2.648" Properties=species:S:1:pos:R:3 pbc="T T T"
Ti 0.000 0.000 0.000
Ti 0.000 3.189 1.324
Zn 3.189 0.000 1.324
Zn 0.000 0.000 2.648
Co 4.783 1.506 -0.662
Co 1.506 1.594 0.662
Co -1.594 1.683 1.986
Co 1.683 1.594 3.310
```

* theoretical density: 7.129 g/cm3
* total moment: 0.00 μB per cell
* energy of formation: 191.3 meV/atom
* energy: -22.62 eV per formula unit